No. 1
MnCuSn2: relaxed, PBE.

Values from the calculation:
Final energy: -39.64 eV per cell
Formation enthalpy at 0 K: 0.3634 eV per atom

The structure in CIF format:
```
data_MnCuSn2
_symmetry_space_group_name_H-M 'P 1'
_symmetry_Int_Tables_number 1
_symmetry_space_group_name_Hall 'P 1'
_cell_length_a 7.405
_cell_length_b 7.405
_cell_length_c 6.073
_cell_angle_alpha 52.43
_cell_angle_beta 52.43
_cell_angle_gamma 90.00
loop_
_atom_site_label
_atom_site_type_symbol
_atom_site_fract_x
_atom_site_fract_y
_atom_site_fract_z
_atom_site_occupancy
Sn1 Sn 0.646 0.125 0.250 1
Sn2 Sn 0.104 0.625 0.250 1
Sn3 Sn 0.375 0.354 0.750 1
Sn4 Sn 0.875 0.896 0.750 1
Mn1 Mn 0.500 0.500 0.000 1
Mn2 Mn 0.250 0.750 0.500 1
Cu1 Cu 0.750 0.250 0.500 1
Cu2 Cu 0.000 0.000 0.000 1
```

***

No. 2
Ca2Mg2GaPd5: relaxed, PBE.

Values from the calculation:
Final energy: -84.16 eV per cell
Formation enthalpy at 0 K: -0.5898 eV per atom

The structure in CIF format:
```
data_Ca2Mg2GaPd5
_symmetry_space_group_name_H-M 'P 1'
_symmetry_Int_Tables_number 1
_symmetry_space_group_name_Hall 'P 1'
_cell_length_a 3.473
_cell_length_b 10.362
_cell_length_c 10.362
_cell_angle_alpha 90.00
_cell_angle_beta 90.00
_cell_angle_gamma 90.00
loop_
_atom_site_label
_atom_site_type_symbol
_atom_site_fract_x
_atom_site_fract_y
_atom_site_fract_z
_atom_site_occupancy
Pd1 Pd 0.500 0.444 0.310 1
Pd2 Pd 0.500 0.690 0.444 1
Pd3 Pd 0.500 0.556 0.690 1
Pd4 Pd 0.500 0.810 0.944 1
Pd5 Pd 0.500 0.056 0.810 1
Pd6 Pd 0.500 0.310 0.556 1
Pd7 Pd 0.500 0.000 0.500 1
Pd8 Pd 0.500 0.944 0.190 1
Pd9 Pd 0.500 0.500 0.000 1
Pd10 Pd 0.500 0.190 0.056 1
Mg1 Mg 0.000 0.630 0.870 1
Mg2 Mg 0.000 0.870 0.370 1
Mg3 Mg 0.000 0.130 0.630 1
Mg4 Mg 0.000 0.370 0.130 1
Ga1 Ga 0.000 0.000 0.000 1
Ga2 Ga 0.000 0.500 0.500 1
Ca1 Ca 0.000 0.673 0.173 1
Ca2 Ca 0.000 0.827 0.673 1
Ca3 Ca 0.000 0.173 0.327 1
Ca4 Ca 0.000 0.327 0.827 1
```

***

No. 3
BaIn2Se: relaxed, PBE.

Values from the calculation:
ΔE_f (raw): -0.61 eV/atom
Final energy: -13.31 eV per cell

The structure in CIF format:
```
data_BaIn2Se
_symmetry_space_group_name_H-M 'P 1'
_symmetry_Int_Tables_number 1
_symmetry_space_group_name_Hall 'P 1'
_cell_length_a 6.292
_cell_length_b 6.292
_cell_length_c 6.292
_cell_angle_alpha 136.21
_cell_angle_beta 130.95
_cell_angle_gamma 67.83
loop_
_atom_site_label
_atom_site_type_symbol
_atom_site_fract_x
_atom_site_fract_y
_atom_site_fract_z
_atom_site_occupancy
Ba1 Ba 0.275 0.775 0.500 1
Se1 Se 0.521 0.521 0.000 1
In1 In 0.698 0.198 0.500 1
In2 In 0.007 0.007 0.000 1
```

***

No. 4
Ba4RhAu: relaxed, PBE.

Values from the calculation:
Final energy: -40.80 eV per cell
Formation enthalpy at 0 K: -0.3468 eV per atom
Energy above the lowest structure with this stoichiometry: 0.14 eV per formula unit

The structure in CIF format:
```
data_Ba4RhAu
_symmetry_space_group_name_H-M 'P 1'
_symmetry_Int_Tables_number 1
_symmetry_space_group_name_Hall 'P 1'
_cell_length_a 7.955
_cell_length_b 8.062
_cell_length_c 10.186
_cell_angle_alpha 106.16
_cell_angle_beta 105.76
_cell_angle_gamma 107.49
loop_
_atom_site_label
_atom_site_type_symbol
_atom_site_fract_x
_atom_site_fract_y
_atom_site_fract_z
_atom_site_occupancy
Ba1 Ba 0.171 0.415 0.371 1
Ba2 Ba 0.053 0.819 0.107 1
Ba3 Ba 0.947 0.181 0.893 1
Ba4 Ba 0.700 0.956 0.371 1
Ba5 Ba 0.554 0.287 0.107 1
Ba6 Ba 0.300 0.044 0.629 1
Ba7 Ba 0.829 0.585 0.629 1
Ba8 Ba 0.446 0.713 0.893 1
Rh1 Rh 0.174 0.924 0.848 1
Rh2 Rh 0.826 0.076 0.152 1
Au1 Au 0.323 0.573 0.145 1
Au2 Au 0.677 0.427 0.855 1
```

***

No. 5
Nd4Sm3Rh4: relaxed, PBE.

Values from the calculation:
Final energy: -68.01 eV per cell
Formation enthalpy at 0 K: -0.4883 eV per atom

The structure in CIF format:
```
data_Nd4Sm3Rh4
_symmetry_space_group_name_H-M 'P 1'
_symmetry_Int_Tables_number 1
_symmetry_space_group_name_Hall 'P 1'
_cell_length_a 3.786
_cell_length_b 9.125
_cell_length_c 9.580
_cell_angle_alpha 118.44
_cell_angle_beta 101.40
_cell_angle_gamma 90.00
loop_
_atom_site_label
_atom_site_type_symbol
_atom_site_fract_x
_atom_site_fract_y
_atom_site_fract_z
_atom_site_occupancy
Nd1 Nd 0.665 0.478 0.329 1
Nd2 Nd 0.665 0.851 0.329 1
Nd3 Nd 0.335 0.522 0.671 1
Nd4 Nd 0.335 0.149 0.671 1
Sm1 Sm 0.901 0.901 0.801 1
Sm2 Sm 0.099 0.099 0.199 1
Sm3 Sm 0.000 0.500 0.000 1
Rh1 Rh 0.257 0.757 0.513 1
Rh2 Rh 0.743 0.243 0.487 1
Rh3 Rh 0.500 0.222 0.000 1
Rh4 Rh 0.500 0.778 0.000 1
```

***

No. 6
SnH12C6S4N2: relaxed, PBE.

Values from the calculation:
Final energy: -272.06 eV per cell

The structure in CIF format:
```
data_SnH12C6S4N2
_symmetry_space_group_name_H-M 'P 1'
_symmetry_Int_Tables_number 1
_symmetry_space_group_name_Hall 'P 1'
_cell_length_a 7.952
_cell_length_b 7.952
_cell_length_c 12.979
_cell_angle_alpha 77.59
_cell_angle_beta 77.59
_cell_angle_gamma 108.29
loop_
_atom_site_label
_atom_site_type_symbol
_atom_site_fract_x
_atom_site_fract_y
_atom_site_fract_z
_atom_site_occupancy
H1 H 0.976 0.269 0.542 1
H2 H 0.037 0.852 0.633 1
H3 H 0.269 0.976 0.042 1
H4 H 0.233 0.836 0.343 1
H5 H 0.740 0.986 0.378 1
H6 H 0.229 0.778 0.628 1
H7 H 0.963 0.148 0.367 1
H8 H 0.683 0.227 0.969 1
H9 H 0.731 0.024 0.958 1
H10 H 0.986 0.740 0.878 1
H11 H 0.852 0.037 0.133 1
H12 H 0.767 0.164 0.657 1
H13 H 0.260 0.014 0.622 1
H14 H 0.836 0.233 0.843 1
H15 H 0.164 0.767 0.157 1
H16 H 0.024 0.731 0.458 1
H17 H 0.771 0.222 0.372 1
H18 H 0.317 0.773 0.031 1
H19 H 0.773 0.317 0.531 1
H20 H 0.227 0.683 0.469 1
H21 H 0.014 0.260 0.122 1
H22 H 0.148 0.963 0.867 1
H23 H 0.222 0.771 0.872 1
H24 H 0.778 0.229 0.128 1
C1 C 0.178 0.790 0.434 1
C2 C 0.822 0.210 0.566 1
C3 C 0.811 0.105 0.403 1
C4 C 0.876 0.672 0.089 1
C5 C 0.189 0.895 0.597 1
C6 C 0.210 0.822 0.066 1
C7 C 0.328 0.124 0.411 1
C8 C 0.124 0.328 0.911 1
C9 C 0.105 0.811 0.903 1
C10 C 0.672 0.876 0.589 1
C11 C 0.895 0.189 0.097 1
C12 C 0.790 0.178 0.934 1
S1 S 0.610 0.695 0.534 1
S2 S 0.620 0.825 0.732 1
S3 S 0.380 0.175 0.268 1
S4 S 0.175 0.380 0.768 1
S5 S 0.825 0.620 0.232 1
S6 S 0.305 0.390 0.966 1
S7 S 0.695 0.610 0.034 1
S8 S 0.390 0.305 0.466 1
N1 N 0.946 0.240 0.976 1
N2 N 0.760 0.054 0.524 1
N3 N 0.240 0.946 0.476 1
N4 N 0.054 0.760 0.024 1
Sn1 Sn 0.472 0.528 0.250 1
Sn2 Sn 0.528 0.472 0.750 1
```